{
  "formula": "V2FeCo4",
  "functional": "GGA-PBE",
  "state": "relaxed",
  "cell": [[4.497, 0.000, 0.000], [2.216, 5.816, 0.000], [0.958, 0.022, 6.183]],
  "species": ["V", "V", "V", "V", "Fe", "Fe", "Co", "Co", "Co", "Co", "Co", "Co", "Co", "Co"],
  "frac_coords": [[0.000, 0.000, 0.000], [0.132, 0.405, 0.611], [0.520, 0.838, 0.214], [0.713, 0.791, 0.817], [0.042, 0.212, 0.314], [0.312, 0.619, 0.817], [0.143, 0.564, 0.187], [0.334, 0.986, 0.605], [0.364, 0.206, 0.964], [0.552, 0.205, 0.315], [0.603, 0.561, 0.461], [0.743, 0.197, 0.673], [0.752, 0.426, 0.018], [0.959, 0.844, 0.454]],
  "vol_a3_per_cell": 162,
  "spacegroup": "No. 1",
  "crystal_system": "triclinic",
  "e_above_lowest_polymorph_ev_per_fu": 0.00,
  "ef_mev_per_atom": 13,
  "density_g_cm3": 8.08
}